Density functional theory data (PBE) for a relaxed SrCaZn4 crystal.

Results
Calculated density   4.74 Mg/m³
Formation enthalpy at 0 K   -0.26 eV per atom
ΔE to the lowest computed polymorph   0.000 eV/atom
Magnetization   0.00 μB per atom
Calculated volume   22.7 Å³ per atom

CIF file:
```
data_SrCaZn4
_symmetry_space_group_name_H-M 'I m m 2'
_symmetry_Int_Tables_number 44
_cell_length_a 4.682
_cell_length_b 7.606
_cell_length_c 7.656
_cell_angle_alpha 90.00
_cell_angle_beta 90.00
_cell_angle_gamma 90.00
loop_
_symmetry_equiv_pos_as_xyz
'x,y,z'
'-x,-y,z'
'-x,y,z'
'x,-y,z'
'x+1/2,y+1/2,z+1/2'
'-x+1/2,-y+1/2,z+1/2'
'-x+1/2,y+1/2,z+1/2'
'x+1/2,-y+1/2,z+1/2'
loop_
_atom_site_label
_atom_site_fract_x
_atom_site_fract_y
_atom_site_fract_z
_atom_site_occupancy
Sr1 0.000 0.000 0.000 1
Ca1 0.000 0.500 0.102 1
Zn1 0.000 0.185 0.395 1
Zn2 0.000 0.314 0.723 1
```



Density functional theory data (PBE) for a relaxed ScTaOs crystal.

Results
Calculated density   12.13 Mg/m³
Formation enthalpy at 0 K   -0.25 eV per atom
ΔE to the lowest computed polymorph   0.079 eV/atom
Magnetization   0.00 μB per atom
Calculated volume   19.0 Å³ per atom

CIF file:
```
data_ScTaOs
_symmetry_space_group_name_H-M 'P -6 2 m'
_symmetry_Int_Tables_number 189
_symmetry_space_group_name_Hall 'P -6 -2'
_cell_length_a 6.7162
_cell_length_b 6.7162
_cell_length_c 4.3756
_cell_angle_alpha 90.00
_cell_angle_beta 90.00
_cell_angle_gamma 120.00
loop_
_atom_site_label
_atom_site_fract_x
_atom_site_fract_y
_atom_site_fract_z
_atom_site_occupancy
Sc1 0.0000 0.5744 0.0000 1
Ta1 0.0000 0.2505 0.5000 1
Os1 0.0000 0.0000 0.0000 1
Os2 0.3333 0.6667 0.5000 1
```



Density functional theory data (PBE) for a relaxed Li2CdHg6 crystal.

Results
Calculated density   10.65 Mg/m³
Formation enthalpy at 0 K   -0.14 eV per atom
ΔE to the lowest computed polymorph   0.019 eV/atom
Magnetization   0.00 μB per atom
Calculated volume   23.0 Å³ per atom

CIF file:
```
data_Li2CdHg6
_symmetry_space_group_name_H-M 'I m m m'
_symmetry_Int_Tables_number 71
_symmetry_space_group_name_Hall '-I 2 2'
_cell_length_a 8.935
_cell_length_b 9.059
_cell_length_c 10.248
_cell_angle_alpha 90.00
_cell_angle_beta 90.00
_cell_angle_gamma 90.00
loop_
_atom_site_label
_atom_site_fract_x
_atom_site_fract_y
_atom_site_fract_z
_atom_site_occupancy
Li1 0.000 0.000 0.149 1
Li2 0.165 0.000 0.500 1
Cd1 0.000 0.500 0.000 1
Cd2 0.000 0.500 0.500 1
Hg1 0.000 0.215 0.335 1
Hg2 0.182 0.205 0.000 1
Hg3 0.201 0.500 0.246 1
```



Density functional theory data (PBE) for a relaxed Sm2DyThBi5 crystal.

Results
Calculated density   7.37 Mg/m³
Formation enthalpy at 0 K   0.12 eV per atom
Magnetization   0.00 μB per atom
Calculated volume   43.6 Å³ per atom

CIF file:
```
data_Sm2DyThBi5
_symmetry_space_group_name_H-M 'P 4/m m m'
_symmetry_Int_Tables_number 123
_symmetry_space_group_name_Hall '-P 4 2'
_cell_length_a 5.736
_cell_length_b 5.736
_cell_length_c 11.916
_cell_angle_alpha 90.00
_cell_angle_beta 90.00
_cell_angle_gamma 90.00
loop_
_atom_site_label
_atom_site_fract_x
_atom_site_fract_y
_atom_site_fract_z
_atom_site_occupancy
Sm1 0.000 0.000 0.225 1
Dy1 0.500 0.500 0.500 1
Th1 0.500 0.500 0.000 1
Bi1 0.000 0.000 0.500 1
Bi2 0.000 0.500 0.000 1
Bi3 0.500 0.500 0.258 1
```



Density functional theory data (PBE) for a relaxed Pb2WBr crystal.

Results
Calculated density   11.43 Mg/m³
ΔE to the lowest computed polymorph   0.175 eV/atom
Energy relative to the elements, uncorrected   0.654 eV per atom
Magnetization   0.00 μB per atom
Calculated volume   24.6 Å³ per atom

CIF file:
```
data_Pb2WBr
_symmetry_space_group_name_H-M 'P m m m'
_symmetry_Int_Tables_number 47
_cell_length_a 3.256
_cell_length_b 3.517
_cell_length_c 8.606
_cell_angle_alpha 90.00
_cell_angle_beta 90.00
_cell_angle_gamma 90.00
loop_
_symmetry_equiv_pos_as_xyz
'x,y,z'
'-x,-y,-z'
'-x,-y,z'
'x,y,-z'
'x,-y,-z'
'-x,y,z'
'-x,y,-z'
'x,-y,z'
loop_
_atom_site_label
_atom_site_fract_x
_atom_site_fract_y
_atom_site_fract_z
_atom_site_occupancy
Pb1 0.000 0.000 0.222 1
W1 0.500 0.500 0.000 1
Br1 0.500 0.500 0.500 1
```



Density functional theory data (PBE) for a relaxed SbW4 crystal.

Results
Calculated density   13.42 Mg/m³
ΔE to the lowest computed polymorph   0.000 eV/atom
Energy relative to the elements, uncorrected   2.123 eV per atom
Magnetization   0.00 μB per atom
Calculated volume   21.2 Å³ per atom

CIF file:
```
data_SbW4
_symmetry_space_group_name_H-M 'I m -3 m'
_symmetry_Int_Tables_number 229
_symmetry_space_group_name_Hall '-I 4 2 3'
_cell_length_a 5.964
_cell_length_b 5.964
_cell_length_c 5.964
_cell_angle_alpha 90.00
_cell_angle_beta 90.00
_cell_angle_gamma 90.00
loop_
_atom_site_label
_atom_site_fract_x
_atom_site_fract_y
_atom_site_fract_z
_atom_site_occupancy
Sb1 0.000 0.000 0.000 1
W1 0.250 0.250 0.250 1
```



Density functional theory data (PBE) for a relaxed BaTe2C crystal.

Results
Calculated density   3.50 Mg/m³
Energy relative to the elements, uncorrected   0.393 eV per atom
Magnetization   0.50 μB per atom
Calculated volume   48.0 Å³ per atom

CIF file:
```
data_BaTe2C
_symmetry_space_group_name_H-M 'R -3 m'
_symmetry_Int_Tables_number 166
_symmetry_space_group_name_Hall '-R 3 2"'
_cell_length_a 5.6150
_cell_length_b 5.6150
_cell_length_c 21.0946
_cell_angle_alpha 90.00
_cell_angle_beta 90.00
_cell_angle_gamma 120.00
loop_
_atom_site_label
_atom_site_fract_x
_atom_site_fract_y
_atom_site_fract_z
_atom_site_occupancy
Ba1 0.0000 0.0000 0.0000 1
Te1 0.0000 0.0000 0.4043 1
C1 0.0000 0.0000 0.5000 1
```



Density functional theory data (PBE) for a relaxed BaHfAs2 crystal.

Results
Calculated density   7.18 Mg/m³
Formation enthalpy at 0 K   -1.05 eV per atom
ΔE to the lowest computed polymorph   0.000 eV/atom
Magnetization   0.00 μB per atom
Calculated volume   26.9 Å³ per atom

CIF file:
```
data_BaHfAs2
_symmetry_space_group_name_H-M 'R -3 m'
_symmetry_Int_Tables_number 166
_symmetry_space_group_name_Hall '-R 3 2"'
_cell_length_a 4.0988
_cell_length_b 4.0988
_cell_length_c 22.1961
_cell_angle_alpha 90.00
_cell_angle_beta 90.00
_cell_angle_gamma 120.00
loop_
_atom_site_label
_atom_site_fract_x
_atom_site_fract_y
_atom_site_fract_z
_atom_site_occupancy
Ba1 0.0000 0.0000 0.0000 1
Hf1 0.0000 0.0000 0.5000 1
As1 0.0000 0.0000 0.2322 1
```



Density functional theory data (PBE) for a relaxed Ac2DySb crystal.

Results
Calculated density   7.84 Mg/m³
ΔE to the lowest computed polymorph   0.530 eV/atom
Energy relative to the elements, uncorrected   0.109 eV per atom
Magnetization   0.00 μB per atom
Calculated volume   39.1 Å³ per atom

CIF file:
```
data_Ac2DySb
_symmetry_space_group_name_H-M 'R -3 m'
_symmetry_Int_Tables_number 166
_symmetry_space_group_name_Hall '-R 3 2"'
_cell_length_a 3.7620
_cell_length_b 3.7620
_cell_length_c 38.2926
_cell_angle_alpha 90.00
_cell_angle_beta 90.00
_cell_angle_gamma 120.00
loop_
_atom_site_label
_atom_site_fract_x
_atom_site_fract_y
_atom_site_fract_z
_atom_site_occupancy
Ac1 0.0000 0.0000 0.0868 1
Dy1 0.0000 0.0000 0.5000 1
Sb1 0.0000 0.0000 0.0000 1
```



Density functional theory data (PBE) for a relaxed CsPSCl2 crystal.

Results
Calculated density   2.06 Mg/m³
ΔE to the lowest computed polymorph   1.714 eV/atom
Energy relative to the elements, uncorrected   1.027 eV per atom
Magnetization   0.11 μB per atom
Calculated volume   42.9 Å³ per atom

CIF file:
```
data_CsPSCl2
_symmetry_space_group_name_H-M 'P 4/m m m'
_symmetry_Int_Tables_number 123
_symmetry_space_group_name_Hall '-P 4 2'
_cell_length_a 6.182
_cell_length_b 6.182
_cell_length_c 5.618
_cell_angle_alpha 90.00
_cell_angle_beta 90.00
_cell_angle_gamma 90.00
loop_
_atom_site_label
_atom_site_fract_x
_atom_site_fract_y
_atom_site_fract_z
_atom_site_occupancy
Cs1 0.000 0.000 0.000 1
P1 0.500 0.500 0.500 1
S1 0.000 0.000 0.500 1
Cl1 0.000 0.500 0.000 1
```



What did the tenth record say?
Density functional theory data (PBE) for a relaxed CsPSCl2 crystal.

Results
Calculated density   2.06 Mg/m³
ΔE to the lowest computed polymorph   1.714 eV/atom
Energy relative to the elements, uncorrected   1.027 eV per atom
Magnetization   0.11 μB per atom
Calculated volume   42.9 Å³ per atom

CIF file:
```
data_CsPSCl2
_symmetry_space_group_name_H-M 'P 4/m m m'
_symmetry_Int_Tables_number 123
_symmetry_space_group_name_Hall '-P 4 2'
_cell_length_a 6.182
_cell_length_b 6.182
_cell_length_c 5.618
_cell_angle_alpha 90.00
_cell_angle_beta 90.00
_cell_angle_gamma 90.00
loop_
_atom_site_label
_atom_site_fract_x
_atom_site_fract_y
_atom_site_fract_z
_atom_site_occupancy
Cs1 0.000 0.000 0.000 1
P1 0.500 0.500 0.500 1
S1 0.000 0.000 0.500 1
Cl1 0.000 0.500 0.000 1
```